A relaxed Li2YAl2 crystal, computed with PBE.

Results
DFT total energy: -0.2733 Ry per atom
DOS(E_F): 0.635 states/eV/atom
Total magnetization: 0.000 Bohr magnetons per cell
DFT formation energy: -0.16 eV per atom
Relative energy among the computed polymorphs: 6 meV per atom

The structure in POSCAR format:
```
Li2YAl2
1.0
7.9842 0.0000 0.0000
0.0000 7.9842 0.0000
0.0000 0.0000 2.9672
Li Y Al
4 2 4
Direct
0.1173 0.3827 0.0000
0.3827 0.8827 0.0000
0.6173 0.1173 0.0000
0.8827 0.6173 0.0000
0.0000 0.0000 0.0000
0.5000 0.5000 0.0000
0.1786 0.6786 0.5000
0.3214 0.1786 0.5000
0.6786 0.8214 0.5000
0.8214 0.3214 0.5000
```